VASP calculation (PBE) on crystalline Li2MgNb at its relaxed geometry.

Unit cell a=10.9732 b=10.9732 c=10.9732 alpha=14.98 beta=14.98 gamma=14.98
Sites, in units of the cell vectors:
Li 0.0859 0.0859 0.0859
Li 0.9141 0.9141 0.9141
Mg 0.5000 0.5000 0.5000
Nb 0.0000 0.0000 0.0000

Density of states at the Fermi level in states/eV per atom: 0.739
Space-group type: R-3m (166)
ΔE_f in meV/atom: 298